This record from Alexandria describes an optimized crystal structure of ScGa3Mo. The functional is PBE.

Calculated values
ΔE_f = 1.179 eV per atom
V = 25.358 Å³ per atom
DFT total energy = -4.0694 eV/atom
Space group = No. 221

Unit cell a=5.024 b=5.024 c=5.024 alpha=90.00 beta=90.00 gamma=90.00
Positions (direct):
Ga 0.000 0.500 0.000
Sc 0.000 0.000 0.000
Ga 0.500 0.000 0.000
Ga 0.000 0.000 0.500
Mo 0.500 0.500 0.500